{"formula": "ZrScAlCo2", "functional": "PBE-GGA", "state": "optimized geometry", "energy_ev_per_atom": -7.04, "m_tot_mub_per_fu": 0.01, "lattice_angstrom": [[-2.011, 2.607, 3.778], [2.011, -2.607, 3.778], [2.011, 2.607, -3.778]], "species": ["Al", "Co", "Sc", "Zr", "Co"], "fractional_positions": [[0.000, 0.000, 0.000], [0.273, 0.499, 0.775], [0.706, 0.206, 0.500], [0.295, 0.795, 0.500], [0.724, 0.499, 0.225]]}

***

{"formula": "ZrScAlCo", "functional": "PBE-GGA", "state": "optimized geometry", "energy_ev_per_atom": -6.59, "m_tot_mub_per_fu": 1.00, "lattice_angstrom": [[0.000, 3.224, 3.224], [3.224, 0.000, 3.224], [3.224, 3.224, 0.000]], "species": ["Sc", "Co", "Zr", "Al"], "fractional_positions": [[0.250, 0.250, 0.250], [0.750, 0.750, 0.750], [0.500, 0.500, 0.500], [0.000, 0.000, 0.000]]}

***

{"formula": "AlCoSi", "functional": "PBE-GGA", "state": "optimized geometry", "energy_ev_per_atom": -5.50, "m_tot_mub_per_fu": 0.02, "lattice_angstrom": [[-2.442, -0.130, 3.070], [-3.864, -0.374, -0.580], [-1.808, -3.358, 0.929]], "species": ["Co", "Si", "Al"], "fractional_positions": [[0.750, 0.750, 0.750], [0.000, 0.000, 0.000], [0.250, 0.250, 0.250]]}

***

{"formula": "AlCoSi", "functional": "PBE-GGA", "state": "optimized geometry", "energy_ev_per_atom": -5.84, "m_tot_mub_per_fu": 0.00, "lattice_angstrom": [[0.000, 2.740, 2.740], [2.740, 0.000, 2.740], [2.740, 2.740, 0.000]], "species": ["Al", "Si", "Co"], "fractional_positions": [[0.250, 0.250, 0.250], [0.750, 0.750, 0.750], [0.000, 0.000, 0.000]]}

***

{"formula": "AlCo2Si2", "functional": "PBE-GGA", "state": "optimized geometry", "energy_ev_per_atom": -6.30, "m_tot_mub_per_fu": 0.00, "lattice_angstrom": [[-2.016, 0.550, -3.328], [-0.899, -3.005, 2.368], [-3.009, 2.686, 2.267]], "species": ["Co", "Al", "Si", "Co", "Si"], "fractional_positions": [[0.333, 0.667, 0.839], [0.000, 0.000, 0.000], [0.333, 0.667, 0.350], [0.667, 0.333, 0.161], [0.667, 0.333, 0.650]]}

***

{"formula": "AlCo6Si", "functional": "PBE-GGA", "state": "optimized geometry", "energy_ev_per_atom": -6.72, "m_tot_mub_per_fu": 7.77, "lattice_angstrom": [[-2.560, -2.174, -2.106], [1.658, -3.315, 1.408], [-3.586, 0.040, 4.318]], "species": ["Co", "Co", "Al", "Co", "Co", "Co", "Si", "Co"], "fractional_positions": [[0.000, 0.500, 0.759], [0.000, 0.500, 0.241], [0.500, 0.500, 0.500], [0.500, 0.500, 0.000], [0.500, 0.000, 0.241], [0.500, 0.000, 0.759], [0.000, 0.000, 0.000], [0.000, 0.000, 0.500]]}